[1]
# Tl7Hg2As2 (GGA-PBE, relaxed)
data_Tl7Hg2As2
_symmetry_space_group_name_H-M 'I m m 2'
_symmetry_Int_Tables_number 44
_cell_length_a 4.4376
_cell_length_b 16.2159
_cell_length_c 9.2209
_cell_angle_alpha 90.00
_cell_angle_beta 90.00
_cell_angle_gamma 90.00
loop_
_symmetry_equiv_pos_as_xyz
'x,y,z'
'-x,-y,z'
'-x,y,z'
'x,-y,z'
'x+1/2,y+1/2,z+1/2'
'-x+1/2,-y+1/2,z+1/2'
'-x+1/2,y+1/2,z+1/2'
'x+1/2,-y+1/2,z+1/2'
loop_
_atom_site_label
_atom_site_type_symbol
_atom_site_fract_x
_atom_site_fract_y
_atom_site_fract_z
Tl1 Tl 0.0000 0.0000 0.0000
Tl2 Tl 0.0000 0.1494 0.4023
Tl3 Tl 0.0000 0.3419 0.6118
Tl4 Tl 0.0000 0.3494 0.2079
Hg1 Hg 0.0000 0.0000 0.6575
Hg2 Hg 0.0000 0.5000 0.8504
As1 As 0.0000 0.2207 0.9121
# Energy of formation ... 0.34 kcal/mol of atoms


[2]
# Ca4Tm3PaAs8 (GGA-PBE, relaxed)
data_Ca4Tm3PaAs8
_symmetry_space_group_name_H-M 'R -3 m'
_symmetry_Int_Tables_number 166
_symmetry_space_group_name_Hall '-R 3 2"'
_cell_length_a 8.2958
_cell_length_b 8.2958
_cell_length_c 20.5575
_cell_angle_alpha 90.00
_cell_angle_beta 90.00
_cell_angle_gamma 120.00
loop_
_atom_site_label
_atom_site_type_symbol
_atom_site_fract_x
_atom_site_fract_y
_atom_site_fract_z
Ca1 Ca 0.0000 0.0000 0.0000
Ca2 Ca 0.0000 0.5000 0.0000
Tm1 Tm 0.0000 0.5000 0.5000
Pa1 Pa 0.0000 0.0000 0.5000
As1 As 0.0000 0.0000 0.2444
As2 As 0.0032 0.5016 0.2441
# Energy of formation ... -28.50 kcal/mol of atoms


[3]
# ZrFeOs2 (GGA-PBE, relaxed)
data_ZrFeOs2
_symmetry_space_group_name_H-M 'P 4 m m'
_symmetry_Int_Tables_number 99
_cell_length_a 2.9090
_cell_length_b 2.9090
_cell_length_c 7.3224
_cell_angle_alpha 90.00
_cell_angle_beta 90.00
_cell_angle_gamma 90.00
loop_
_symmetry_equiv_pos_as_xyz
'x,y,z'
'-y,x,z'
'-x,-y,z'
'y,-x,z'
'-x,y,z'
'y,x,z'
'x,-y,z'
'-y,-x,z'
loop_
_atom_site_label
_atom_site_type_symbol
_atom_site_fract_x
_atom_site_fract_y
_atom_site_fract_z
Zr1 Zr 0.0000 0.0000 0.0000
Fe1 Fe 0.5000 0.5000 0.2640
Os1 Os 0.0000 0.0000 0.4718
Os2 Os 0.5000 0.5000 0.7029
# Energy of formation ... 2.37 kcal/mol of atoms


Q: The highest energy of formation belongs to which entry?
A: ZrFeOs2